A plane-wave DFT calculation with GGA-PBEsol was carried out for a relaxed structure of TiBiP3.

Cell and atoms, written as POSCAR:
```
TiBiP3
1.0
4.6932 0.0000 0.0000
0.0000 4.6932 0.0000
0.0000 0.0000 4.6932
Ti Bi P
1 1 3
direct
0.0000 0.0000 0.0000
0.5000 0.5000 0.5000
0.0000 0.0000 0.5000
0.0000 0.5000 0.0000
0.5000 0.0000 0.0000
```

As for the space group: Pm-3m, No. 221. For the uncorrected energy, the calculation gives -5.81 eV/atom. Its size of the total moment is 0.0 μB per cell. For the energy of formation from the pure elements, the calculation gives 0.187 eV/atom.

A plane-wave DFT calculation with GGA-PBEsol was carried out for a relaxed structure of SmZn5.

Cell and atoms, written as POSCAR:
```
SmZn5
1.0
5.2489 0.0000 0.0000
-2.6244 4.5456 0.0000
0.0000 0.0000 4.1630
Sm Zn
1 5
direct
0.0000 0.0000 0.0000
0.0000 0.5000 0.5000
0.3333 0.6667 0.0000
0.5000 0.0000 0.5000
0.5000 0.5000 0.5000
0.6667 0.3333 0.0000
```

As for the space group: P6/mmm, No. 191. For the uncorrected energy, the calculation gives -2.49 eV/atom. Its size of the total moment is 0.0 μB per cell. For the energy of formation from the pure elements, the calculation gives -0.320 eV/atom.

A plane-wave DFT calculation with GGA-PBEsol was carried out for a relaxed structure of Fe2OsS2.

Cell and atoms, written as POSCAR:
```
Fe2OsS2
1.0
-1.9214 1.9214 4.0285
1.9214 -1.9214 4.0285
1.9214 1.9214 -4.0285
Fe Os S
2 1 2
direct
0.2500 0.7500 0.5000
0.7500 0.2500 0.5000
0.0000 0.0000 0.0000
0.3696 0.3696 0.0000
0.6304 0.6304 0.0000
```

As for the space group: I4/mmm, No. 139. For the uncorrected energy, the calculation gives -7.38 eV/atom. Its size of the total moment is 1.6 μB per cell.